ZrVO2F | PBE+U | optimized geometry

Computed properties:
total DFT energy (no corrections) = -7.260 eV per atom

abc: 3.9930 3.9930 3.8523
angles: 90.00 90.00 90.00
Last column: nearest neighbours and their distance in Å.
Positions (direct):
F 0.0000 0.0000 0.5000  2 V 1.93
O 0.0000 0.5000 0.0000  2 V 2.00
O 0.5000 0.0000 0.0000  2 V 2.00
Zr 0.5000 0.5000 0.5000  8 O 2.77, 4 F 2.82
V 0.0000 0.0000 0.0000  2 F 1.93, 4 O 2.00